GGA-PBE Rb2La2I, relaxed; calculated density = 3.72 g/cm3; distance to the lowest polymorph of the same formula = 0.0 meV/atom; symmetry = I4/mmm (139); formation energy without anion corrections = -0.18 eV per atom
1.0
-1.219 3.806 -2.192
-4.381 -0.889 0.892
-1.940 7.820 9.917
I Rb La
1 2 2
Direct
0.000 0.000 0.000
0.413 0.413 0.174
0.587 0.587 0.826
0.750 0.250 0.500
0.250 0.750 0.500



GGA-PBE CaSnPb2Cl8, relaxed; calculated density = 3.68 g/cm3; symmetry = P2/m (10); formation energy without anion corrections = -1.42 eV per atom
1.0
-6.709 0.342 -0.871
0.802 -0.324 -6.499
-0.491 -8.688 0.372
Ca Sn Pb Cl
1 1 2 8
Direct
0.000 0.000 0.000
0.000 0.000 0.500
0.500 0.500 0.753
0.500 0.500 0.247
0.164 0.783 0.242
0.680 0.735 0.000
0.836 0.217 0.242
0.836 0.217 0.758
0.320 0.265 0.000
0.164 0.783 0.758
0.671 0.730 0.500
0.329 0.270 0.500



GGA-PBE BSO, relaxed; calculated density = 1.88 g/cm3; distance to the lowest polymorph of the same formula = 34.9 meV/atom; symmetry = Pm (6); formation energy without anion corrections = -1.37 eV per atom
1.0
3.962 0.000 -0.036
0.000 2.387 0.000
-1.140 0.000 5.514
S B O
1 1 1
Direct
0.537 0.500 0.356
0.222 0.500 0.065
0.108 0.000 0.954



GGA-PBE HoSc3Tl2, relaxed; calculated density = 7.72 g/cm3; calculated formation energy = -0.146 eV/atom; distance to the lowest polymorph of the same formula = 99.6 meV/atom; symmetry = C2/m (12)
1.0
-2.211 -2.374 -3.973
-3.026 -3.794 7.262
-2.805 7.757 -3.074
Ho Sc Tl
2 6 4
Direct
0.869 0.737 0.900
0.131 0.263 0.100
0.300 0.600 0.593
0.943 0.886 0.597
0.612 0.225 0.673
0.388 0.775 0.327
0.057 0.114 0.403
0.700 0.400 0.407
0.514 0.029 0.850
0.486 0.971 0.150
0.780 0.560 0.154
0.220 0.440 0.846



GGA-PBE BePt3Au, relaxed; calculated density = 10.90 g/cm3; calculated formation energy = 1.725 eV/atom; distance to the lowest polymorph of the same formula = 1661.8 meV/atom; symmetry = Pm-3m (221)
1.0
4.939 0.000 0.000
0.000 4.939 0.000
0.000 0.000 4.939
Be Au Pt
1 1 3
Direct
0.500 0.500 0.500
0.000 0.000 0.000
0.000 0.500 0.000
0.000 0.000 0.500
0.500 0.000 0.000



GGA-PBE NbZnAgS2, relaxed; calculated density = 4.67 g/cm3; symmetry = P4/mmm (123); formation energy without anion corrections = 0.13 eV per atom
1.0
4.764 0.000 0.000
0.000 5.176 0.000
0.000 0.000 4.764
S Nb Zn Ag
2 1 1 1
Direct
0.000 0.000 0.500
0.500 0.000 0.000
0.000 0.000 0.000
0.000 0.500 0.000
0.500 0.500 0.500



GGA-PBE ZrSc2Cd, relaxed; calculated density = 5.30 g/cm3; calculated formation energy = -0.051 eV/atom; distance to the lowest polymorph of the same formula = 121.7 meV/atom; symmetry = C2/m (12)
1.0
-0.231 2.550 -4.941
-3.002 0.912 -4.596
-2.644 4.704 1.091
Cd Sc Zr
1 2 1
Direct
0.750 0.750 0.750
0.007 0.007 0.006
0.493 0.493 0.494
0.250 0.250 0.250



GGA-PBE RhAuC2, relaxed; calculated density = 11.94 g/cm3; calculated formation energy = 2.123 eV/atom; distance to the lowest polymorph of the same formula = 930.1 meV/atom; symmetry = Fm-3m (225)
1.0
0.000 2.824 2.824
2.824 0.000 2.824
2.824 2.824 0.000
Rh C Au
1 2 1
Direct
0.000 0.000 0.000
0.250 0.250 0.250
0.750 0.750 0.750
0.500 0.500 0.500